Entry 1:
Entry from Alexandria via LeMat-Bulk: a relaxed structure of RbThS2 (PBE-GGA).

Lattice parameters (Å, degrees): 3.581 3.581 7.965 90.00 90.00 90.00
Fractional positions:
S: 0.000 0.000 0.799
S: 0.000 0.000 0.201
Rb: 0.500 0.500 0.500
Th: 0.500 0.500 0.000

Calculated values
- formation energy from raw total energies (eV per atom) = -1.573
- N(E_F) (states/eV per atom) = 0.4960

=====

Entry 2:
Entry from Alexandria via LeMat-Bulk: a relaxed structure of Re3SbP (PBE-GGA).

Lattice parameters (Å, degrees): 4.464 4.464 4.464 90.00 90.00 90.00
Fractional positions:
Re: 0.000 0.500 0.000
Re: 0.000 0.000 0.500
Re: 0.500 0.000 0.000
P: 0.000 0.000 0.000
Sb: 0.500 0.500 0.500

Calculated values
- formation energy from raw total energies (eV per atom) = 0.992
- polymorph energy (0 for the lowest one) (eV per formula unit) = 0.00
- N(E_F) (states/eV per atom) = 0.8527

=====

Entry 3:
Entry from Alexandria via LeMat-Bulk: a relaxed structure of Cs3Sb2PbO8 (PBE-GGA).

Lattice parameters (Å, degrees): 6.439 6.439 8.608 90.00 90.00 120.00
Fractional positions:
Cs: 0.333 0.667 0.714
Cs: 0.667 0.333 0.286
Cs: 0.000 0.000 0.000
Sb: 0.333 0.667 0.262
Sb: 0.667 0.333 0.738
Pb: 0.000 0.000 0.500
O: 0.333 0.667 0.044
O: 0.667 0.333 0.956
O: 0.170 0.830 0.335
O: 0.830 0.170 0.665
O: 0.170 0.339 0.335
O: 0.830 0.661 0.665
O: 0.661 0.830 0.335
O: 0.339 0.170 0.665

Calculated values
- formation energy from raw total energies (eV per atom) = -1.340
- N(E_F) (states/eV per atom) = 0.2207

=====

Entry 4:
Entry from Alexandria via LeMat-Bulk: a relaxed structure of Mn2Be2Rh (PBE-GGA).

Lattice parameters (Å, degrees): 5.987 5.987 2.816 90.00 90.00 90.00
Fractional positions:
Be: 0.375 0.875 0.000
Be: 0.875 0.625 0.000
Be: 0.625 0.125 0.000
Be: 0.125 0.375 0.000
Mn: 0.167 0.667 0.500
Mn: 0.667 0.833 0.500
Mn: 0.833 0.333 0.500
Mn: 0.333 0.167 0.500
Rh: 0.000 0.000 0.000
Rh: 0.500 0.500 0.000

Calculated values
- N(E_F) (states/eV per atom) = 0.8219
- energy relative to the elements (meV per atom) = -64

=====

Entry 5:
Entry from Alexandria via LeMat-Bulk: a relaxed structure of CrCd2Re (PBE-GGA).

Lattice parameters (Å, degrees): 5.193 5.540 2.805 79.78 80.71 115.33
Fractional positions:
Cd: 0.000 0.000 0.000
Cd: 0.500 0.000 0.500
Cr: 0.000 0.500 0.500
Re: 0.500 0.500 0.000

Calculated values
- polymorph energy (0 for the lowest one) (eV per formula unit) = 1.45
- N(E_F) (states/eV per atom) = 0.7178
- energy relative to the elements (meV per atom) = 655

=====

Entry 6:
Entry from Alexandria via LeMat-Bulk: a relaxed structure of TlGaP2Cl (PBE-GGA).

Lattice parameters (Å, degrees): 5.150 5.150 5.722 90.00 90.00 90.00
Fractional positions:
P: 0.000 0.500 0.000
P: 0.500 0.000 0.000
Tl: 0.000 0.000 0.000
Ga: 0.500 0.500 0.500
Cl: 0.000 0.000 0.500

Calculated values
- formation energy from raw total energies (eV per atom) = 0.748
- polymorph energy (0 for the lowest one) (eV per formula unit) = 2.39
- N(E_F) (states/eV per atom) = 0.6332

=====

Entry 7:
Entry from Alexandria via LeMat-Bulk: a relaxed structure of BeHg2Te (PBE-GGA).

Lattice parameters (Å, degrees): 3.150 3.151 9.071 90.00 90.00 90.00
Fractional positions:
Be: 0.500 0.500 0.750
Te: 0.500 0.500 0.250
Hg: 0.000 0.000 0.924
Hg: 0.000 0.000 0.576

Calculated values
- formation energy from raw total energies (eV per atom) = 0.388
- polymorph energy (0 for the lowest one) (eV per formula unit) = 1.69
- N(E_F) (states/eV per atom) = 0.5772

=====

Entry 8:
Entry from Alexandria via LeMat-Bulk: a relaxed structure of AlSbSe2 (PBE-GGA).

Lattice parameters (Å, degrees): 9.051 9.051 9.051 24.73 24.73 24.73
Fractional positions:
Sb: 0.756 0.756 0.756
Al: 0.502 0.502 0.502
Se: 0.029 0.029 0.029
Se: 0.213 0.213 0.213

Calculated values
- formation energy from raw total energies (eV per atom) = -0.350
- polymorph energy (0 for the lowest one) (eV per formula unit) = 0.57

=====

Entry 9:
Entry from Alexandria via LeMat-Bulk: a relaxed structure of TcCl2F5 (PBE-GGA).

Lattice parameters (Å, degrees): 4.041 6.739 6.939 83.38 72.68 72.09
Fractional positions:
Tc: 0.965 0.000 0.000
Cl: 0.518 0.472 0.633
Cl: 0.413 0.528 0.367
F: 0.806 0.032 0.279
F: 0.101 0.709 0.038
F: 0.830 0.291 0.962
F: 0.126 0.968 0.721
F: 0.465 0.000 0.000

Calculated values
- formation energy from raw total energies (eV per atom) = -1.477
- N(E_F) (states/eV per atom) = 0.4255

=====

Entry 10:
Entry from Alexandria via LeMat-Bulk: a relaxed structure of CdAg2PbSe (PBE-GGA).

Lattice parameters (Å, degrees): 4.968 6.166 4.968 90.00 90.00 90.00
Fractional positions:
Pb: 0.000 0.500 0.000
Se: 0.000 0.000 0.000
Ag: 0.000 0.000 0.500
Ag: 0.500 0.000 0.000
Cd: 0.500 0.500 0.500

Calculated values
- formation energy from raw total energies (eV per atom) = 0.260
- N(E_F) (states/eV per atom) = 0.7408

=====

Entry 11:
Entry from Alexandria via LeMat-Bulk: a relaxed structure of In2CuTc (PBE-GGA).

Lattice parameters (Å, degrees): 4.630 4.630 4.630 60.00 60.00 60.00
Fractional positions:
Cu: 0.500 0.500 0.500
In: 0.000 0.000 0.000
In: 0.750 0.750 0.750
Tc: 0.250 0.250 0.250

Calculated values
- polymorph energy (0 for the lowest one) (eV per formula unit) = 1.30
- N(E_F) (states/eV per atom) = 0.5810
- energy relative to the elements (meV per atom) = 513

=====

Entry 12:
Entry from Alexandria via LeMat-Bulk: a relaxed structure of SrAc6Pr12 (PBE-GGA).

Lattice parameters (Å, degrees): 9.374 9.374 9.374 98.76 98.76 98.76
Fractional positions:
Sr: 0.000 0.000 0.000
Ac: 0.894 0.342 0.894
Ac: 0.894 0.894 0.342
Ac: 0.342 0.894 0.894
Ac: 0.106 0.106 0.658
Ac: 0.106 0.658 0.106
Ac: 0.658 0.106 0.106
Pr: 0.757 0.243 0.500
Pr: 0.360 0.078 0.360
Pr: 0.360 0.360 0.078
Pr: 0.922 0.640 0.640
Pr: 0.640 0.640 0.922
Pr: 0.640 0.922 0.640
Pr: 0.500 0.757 0.243
Pr: 0.243 0.500 0.757
Pr: 0.243 0.757 0.500
Pr: 0.500 0.243 0.757
Pr: 0.757 0.500 0.243
Pr: 0.078 0.360 0.360

Calculated values
- N(E_F) (states/eV per atom) = 1.7353
- energy relative to the elements (meV per atom) = 215

=====

For the records above, the corresponding total magnetization values read 0.00 0.40 0.00 0.00 0.72 0.29 0.00 0.00 0.24 0.00 0.00 0.00 μB/atom.
For the records above, the corresponding DFT total energy values read -22.93 -41.92 -72.94 -66.93 -21.28 -14.32 -5.92 -16.23 -35.23 -12.51 -17.89 -79.61 eV for the cell shown.